A relaxed Mg5Pt3 crystal. Source: the Alexandria database, functional PBE.

```
Mg5Pt3
1.0
-3.652 -6.464 2.279
6.962 2.151 -2.685
0.350 3.612 7.015
Mg Pt
10 6
Direct
0.762 0.902 0.705
0.280 0.573 0.862
0.402 0.262 0.705
0.239 0.099 0.296
0.928 0.220 0.139
0.599 0.739 0.296
0.073 0.780 0.862
0.740 0.240 0.484
0.720 0.428 0.139
0.261 0.761 0.516
0.161 0.340 0.500
0.276 0.776 0.174
0.750 0.751 0.001
0.840 0.661 0.500
0.251 0.250 0.001
0.725 0.225 0.827
```

Values from the calculation:
Formation energy: -568 kJ/mol of formula units
Crystal system: monoclinic
Total DFT energy (no corrections): -0.1469 Ha/atom
Volume: 287 Å³ per cell

---

A relaxed CaPr4H10 crystal. Source: the Alexandria database, functional PBE.

```
CaPr4H10
1.0
-3.140 0.844 -2.149
-0.148 -1.081 -3.742
-7.753 -13.962 2.309
H Pr Ca
10 4 1
Direct
0.750 0.750 0.751
0.050 0.050 0.851
0.950 0.950 0.149
0.450 0.450 0.650
0.850 0.850 0.451
0.550 0.550 0.350
0.350 0.350 0.949
0.150 0.150 0.549
0.650 0.650 0.051
0.250 0.250 0.249
0.400 0.400 0.801
0.800 0.800 0.600
0.200 0.200 0.400
0.600 0.600 0.199
0.000 0.000 0.000
```

Values from the calculation:
Crystal system: trigonal
Total DFT energy (no corrections): -0.1563 Ha/atom
Volume: 210 Å³ per cell